1.
Crystalline Li4Np3CuSe8 at its relaxed geometry, computed with PBE.

Lattice parameters (Å, degrees): 7.9602 7.9480 8.0856 120.48 119.49 90.00
Closest atoms and distances in Å follow each position.
Sites, in units of the cell vectors:
Np1 0.5000 0.5000 0.0000  6 Se 2.85-2.89
Np2 0.0000 0.5000 0.5000  6 Se 2.82-2.87
Np3 0.5000 0.5000 0.5000  6 Se 2.82-2.87
Se1 0.7626 0.7420 0.9990  1 Cu 2.70, 3 Li 2.78-2.93, 2 Np 2.85-2.86
Se2 0.7636 0.2580 0.0010  1 Cu 2.70, 3 Li 2.78-2.93, 2 Np 2.85-2.86
Se3 0.7528 0.7622 0.5055  3 Li 2.76-2.83, 3 Np 2.87-2.89
Se4 0.2364 0.7420 0.9990  1 Cu 2.70, 3 Li 2.78-2.93, 2 Np 2.85-2.86
Se5 0.2374 0.2580 0.0010  1 Cu 2.70, 3 Li 2.78-2.93, 2 Np 2.85-2.86
Se6 0.7421 0.2409 0.4842  3 Li 2.77-2.81, 2 Np 2.82, 1 Cu 2.95
Se7 0.2579 0.7591 0.5158  3 Li 2.77-2.81, 2 Np 2.82, 1 Cu 2.95
Se8 0.2472 0.2378 0.4945  3 Li 2.76-2.83, 3 Np 2.87-2.89
Li1 0.0000 0.0000 0.5000  6 Se 2.76-2.87
Li2 0.5000 0.0000 0.0000  6 Se 2.77-2.93
Li3 0.0000 0.0000 0.0000  6 Se 2.78-2.83
Li4 0.5000 0.0000 0.5000  6 Se 2.76-2.87
Cu1 0.0000 0.5000 0.0000  6 Se 2.70-2.95

Summary:
- D(E_F) (states/eV per cell) = 24.59
- SG = No. 12
- uncorrected energy (eV/atom) = -5.921
- ΔE_f (raw) (eV/atom) = -1.02

---

2.
Crystalline HfCu3S4 at its relaxed geometry, computed with PBE.

Lattice parameters (Å, degrees): 5.3812 5.3812 6.6291 113.95 113.95 90.00
Closest atoms and distances in Å follow each position.
Sites, in units of the cell vectors:
Cu1 0.5000 0.5000 0.0000  4 S 2.31
Cu2 0.7500 0.2500 0.5000  4 S 2.31
Cu3 0.2500 0.7500 0.5000  4 S 2.31
S1 0.8705 0.8705 0.2584  3 Cu 2.31, 1 Hf 2.42
S2 0.1295 0.6121 0.7416  3 Cu 2.31, 1 Hf 2.42
S3 0.3879 0.3879 0.2584  3 Cu 2.31, 1 Hf 2.42
S4 0.6121 0.1295 0.7416  3 Cu 2.31, 1 Hf 2.42
Hf1 0.0000 0.0000 0.0000  4 S 2.42

Summary:
- D(E_F) (states/eV per cell) = 11.00
- SG = No. 121
- uncorrected energy (eV/atom) = -5.485
- ΔE_f (raw) (eV/atom) = -0.64

---

3.
Crystalline Na2AgSb4Au3 at its relaxed geometry, computed with PBE.

Lattice parameters (Å, degrees): 4.6820 4.6820 11.7659 90.00 90.00 90.00
Closest atoms and distances in Å follow each position.
Sites, in units of the cell vectors:
Au1 0.5000 0.0000 0.8594  5 Sb 2.66-2.87
Au2 0.0000 0.5000 0.1406  5 Sb 2.66-2.87
Au3 0.0000 0.0000 0.5000  4 Sb 2.82
Ag1 0.5000 0.5000 0.5000  4 Sb 2.82
Sb1 0.5000 0.0000 0.6334  3 Au 2.66-2.82, 2 Ag 2.82
Sb2 0.0000 0.0000 0.0000  4 Au 2.87
Sb3 0.5000 0.5000 0.0000  4 Au 2.87
Sb4 0.0000 0.5000 0.3666  3 Au 2.66-2.82, 2 Ag 2.82
Na1 0.5000 0.0000 0.2689  4 Sb 3.50, 6 Au 3.59-3.64, 2 Ag 3.59
Na2 0.0000 0.5000 0.7311  4 Sb 3.50, 6 Au 3.59-3.64, 2 Ag 3.59

Summary:
- D(E_F) (states/eV per cell) = 2.78
- SG = No. 115
- uncorrected energy (eV/atom) = -3.378
- ΔE_f (raw) (eV/atom) = -0.20

---

4.
Crystalline BaMgPt2 at its relaxed geometry, computed with PBE.

Lattice parameters (Å, degrees): 4.2421 3.9092 6.4052 72.26 90.00 90.00
Closest atoms and distances in Å follow each position.
Sites, in units of the cell vectors:
Ba1 0.0000 0.4708 0.4342  5 Pt 3.13-3.18
Mg1 0.5000 0.7360 0.9028  6 Pt 2.73-2.90
Pt1 0.0000 0.2137 0.9468  2 Pt 2.68, 4 Mg 2.90
Pt2 0.5000 0.0795 0.2162  2 Pt 2.68, 2 Mg 2.73

Summary:
- D(E_F) (states/eV per cell) = 0.62
- SG = No. 38
- uncorrected energy (eV/atom) = -4.428

---

5.
Crystalline Pr3Tm5Pd12 at its relaxed geometry, computed with PBE.

Lattice parameters (Å, degrees): 14.0917 14.0917 14.0917 109.47 109.47 109.47
Closest atoms and distances in Å follow each position.
Sites, in units of the cell vectors:
Pd1 0.8401 0.9178 0.2721  2 Tm 2.77, 2 Pr 2.88-2.93, 1 Pd 2.90
Pd2 0.9319 0.3542 0.2721  2 Tm 2.77, 2 Pr 2.88-2.93, 1 Pd 2.90
Pd3 0.1458 0.4178 0.0777  2 Tm 2.77, 2 Pr 2.88-2.93, 1 Pd 2.90
Pd4 0.2279 0.5681 0.6458  2 Tm 2.77, 2 Pr 2.88-2.93, 1 Pd 2.90
Pd5 0.6458 0.0681 0.2279  2 Tm 2.77, 2 Pr 2.88-2.93, 1 Pd 2.90
Pd6 0.6458 0.5777 0.9178  2 Tm 2.77, 2 Pr 2.88-2.93, 1 Pd 2.90
Pd7 0.5681 0.2279 0.1458  2 Tm 2.77, 2 Pr 2.88-2.93, 1 Pd 2.90
Pd8 0.6599 0.2279 0.5822  2 Tm 2.77, 2 Pr 2.88-2.93, 1 Pd 2.90
Pd9 0.0777 0.1599 0.4319  2 Tm 2.77, 2 Pr 2.88-2.93, 1 Pd 2.90
Pd10 0.3401 0.7721 0.4178  2 Tm 2.77, 2 Pr 2.88-2.93, 1 Pd 2.90
Pd11 0.1458 0.7279 0.5681  2 Tm 2.77, 2 Pr 2.88-2.93, 1 Pd 2.90
Pd12 0.1599 0.0777 0.9319  2 Tm 2.77, 2 Pr 2.88-2.93, 1 Pd 2.90
Pd13 0.4319 0.7721 0.8542  2 Tm 2.77, 2 Pr 2.88-2.93, 1 Pd 2.90
Pd14 0.9178 0.8401 0.7721  2 Tm 2.77, 2 Pr 2.88-2.93, 1 Pd 2.90
Pd15 0.0822 0.9223 0.3542  2 Tm 2.77, 2 Pr 2.88-2.93, 1 Pd 2.90
Pd16 0.5681 0.3401 0.9223  2 Tm 2.77, 2 Pr 2.88-2.93, 1 Pd 2.90
Pd17 0.7279 0.5822 0.1599  2 Tm 2.77, 2 Pr 2.88-2.93, 1 Pd 2.90
Pd18 0.4178 0.2721 0.3401  2 Tm 2.77, 2 Pr 2.88-2.93, 1 Pd 2.90
Pd19 0.3542 0.9319 0.7721  2 Tm 2.77, 2 Pr 2.88-2.93, 1 Pd 2.90
Pd20 0.9178 0.0777 0.6458  2 Tm 2.77, 2 Pr 2.88-2.93, 1 Pd 2.90
Pd21 0.7721 0.3401 0.9178  2 Tm 2.77, 2 Pr 2.88-2.93, 1 Pd 2.90
Pd22 0.4223 0.3542 0.5822  2 Tm 2.77, 2 Pr 2.88-2.93, 1 Pd 2.90
Pd23 0.7721 0.4319 0.3542  2 Tm 2.77, 2 Pr 2.88-2.93, 1 Pd 2.90
Pd24 0.0777 0.9178 0.1458  2 Tm 2.77, 2 Pr 2.88-2.93, 1 Pd 2.90
Pd25 0.2721 0.8542 0.9319  2 Tm 2.77, 2 Pr 2.88-2.93, 1 Pd 2.90
Pd26 0.3401 0.5681 0.4223  2 Tm 2.77, 2 Pr 2.88-2.93, 1 Pd 2.90
Pd27 0.2279 0.6599 0.0822  2 Tm 2.77, 2 Pr 2.88-2.93, 1 Pd 2.90
Pd28 0.0822 0.1599 0.2279  2 Tm 2.77, 2 Pr 2.88-2.93, 1 Pd 2.90
Pd29 0.8401 0.9223 0.0681  2 Tm 2.77, 2 Pr 2.88-2.93, 1 Pd 2.90
Pd30 0.0681 0.6458 0.7279  2 Tm 2.77, 2 Pr 2.88-2.93, 1 Pd 2.90
Pd31 0.5777 0.9319 0.6599  2 Tm 2.77, 2 Pr 2.88-2.93, 1 Pd 2.90
Pd32 0.5822 0.7279 0.6599  2 Tm 2.77, 2 Pr 2.88-2.93, 1 Pd 2.90
Pd33 0.4223 0.0681 0.3401  2 Tm 2.77, 2 Pr 2.88-2.93, 1 Pd 2.90
Pd34 0.2721 0.4178 0.8401  2 Tm 2.77, 2 Pr 2.88-2.93, 1 Pd 2.90
Pd35 0.4178 0.1458 0.5777  2 Tm 2.77, 2 Pr 2.88-2.93, 1 Pd 2.90
Pd36 0.0681 0.4223 0.8401  2 Tm 2.77, 2 Pr 2.88-2.93, 1 Pd 2.90
Pd37 0.4319 0.6599 0.0777  2 Tm 2.77, 2 Pr 2.88-2.93, 1 Pd 2.90
Pd38 0.9319 0.5777 0.1599  2 Tm 2.77, 2 Pr 2.88-2.93, 1 Pd 2.90
Pd39 0.1599 0.0822 0.7279  2 Tm 2.77, 2 Pr 2.88-2.93, 1 Pd 2.90
Pd40 0.3542 0.4223 0.0822  2 Tm 2.77, 2 Pr 2.88-2.93, 1 Pd 2.90
Pd41 0.8542 0.5822 0.9223  2 Tm 2.77, 2 Pr 2.88-2.93, 1 Pd 2.90
Pd42 0.5822 0.8542 0.4223  2 Tm 2.77, 2 Pr 2.88-2.93, 1 Pd 2.90
Pd43 0.9223 0.8401 0.5681  2 Tm 2.77, 2 Pr 2.88-2.93, 1 Pd 2.90
Pd44 0.9223 0.0822 0.8542  2 Tm 2.77, 2 Pr 2.88-2.93, 1 Pd 2.90
Pd45 0.7279 0.1458 0.0681  2 Tm 2.77, 2 Pr 2.88-2.93, 1 Pd 2.90
Pd46 0.8542 0.2721 0.4319  2 Tm 2.77, 2 Pr 2.88-2.93, 1 Pd 2.90
Pd47 0.5777 0.6458 0.4178  2 Tm 2.77, 2 Pr 2.88-2.93, 1 Pd 2.90
Pd48 0.6599 0.4319 0.5777  2 Tm 2.77, 2 Pr 2.88-2.93, 1 Pd 2.90
Tm1 0.3750 0.2500 0.1250  4 Pd 2.77
Tm2 0.6250 0.8750 0.2500  4 Pd 2.77
Tm3 0.5000 0.0000 0.5000  6 Pd 2.77
Tm4 0.0000 0.5000 0.5000  6 Pd 2.77
Tm5 0.5000 0.5000 0.5000  6 Pd 2.77
Tm6 0.3750 0.1250 0.7500  4 Pd 2.77
Tm7 0.7500 0.6250 0.3750  4 Pd 2.77
Tm8 0.2500 0.8750 0.1250  4 Pd 2.77
Tm9 0.8750 0.2500 0.6250  4 Pd 2.77
Tm10 0.5000 0.0000 0.0000  6 Pd 2.77
Tm11 0.2500 0.3750 0.6250  4 Pd 2.77
Tm12 0.7500 0.1250 0.8750  4 Pd 2.77
Tm13 0.8750 0.6250 0.7500  4 Pd 2.77
Tm14 0.1250 0.7500 0.3750  4 Pd 2.77
Tm15 0.5000 0.5000 0.0000  6 Pd 2.77
Tm16 0.1250 0.3750 0.2500  4 Pd 2.77
Tm17 0.0000 0.0000 0.0000  6 Pd 2.77
Tm18 0.0000 0.5000 0.0000  6 Pd 2.77
Tm19 0.0000 0.0000 0.5000  6 Pd 2.77
Tm20 0.6250 0.7500 0.8750  4 Pd 2.77
Pr1 0.6250 0.3750 0.7500  8 Pd 2.88-2.93
Pr2 0.8750 0.7500 0.1250  8 Pd 2.88-2.93
Pr3 0.6250 0.2500 0.3750  8 Pd 2.88-2.93
Pr4 0.1250 0.8750 0.7500  8 Pd 2.88-2.93
Pr5 0.8750 0.1250 0.2500  8 Pd 2.88-2.93
Pr6 0.2500 0.1250 0.3750  8 Pd 2.88-2.93
Pr7 0.7500 0.8750 0.6250  8 Pd 2.88-2.93
Pr8 0.7500 0.3750 0.1250  8 Pd 2.88-2.93
Pr9 0.1250 0.2500 0.8750  8 Pd 2.88-2.93
Pr10 0.3750 0.6250 0.2500  8 Pd 2.88-2.93
Pr11 0.3750 0.7500 0.6250  8 Pd 2.88-2.93
Pr12 0.2500 0.6250 0.8750  8 Pd 2.88-2.93

Summary:
- D(E_F) (states/eV per cell) = 57.09
- SG = No. 230
- uncorrected energy (eV/atom) = -5.239

---

6.
Crystalline TbHoAlGa at its relaxed geometry, computed with PBE.

Lattice parameters (Å, degrees): 5.0763 5.0763 5.0763 60.00 60.00 60.00
Closest atoms and distances in Å follow each position.
Sites, in units of the cell vectors:
Ho1 0.7500 0.7500 0.7500  4 Al 3.11, 4 Ga 3.11
Ga1 0.5000 0.5000 0.5000  4 Tb 3.11, 4 Ho 3.11
Al1 0.0000 0.0000 0.0000  4 Tb 3.11, 4 Ho 3.11
Tb1 0.2500 0.2500 0.2500  4 Al 3.11, 4 Ga 3.11

Summary:
- energy above the lowest structure with this stoichiometry (meV per atom) = 29
- D(E_F) (states/eV per cell) = 1.45
- SG = No. 216
- uncorrected energy (eV/atom) = -4.474

---

7.
Crystalline DyThSe at its relaxed geometry, computed with PBE.

Lattice parameters (Å, degrees): 3.7451 3.7429 13.1063 98.21 90.03 90.00
Closest atoms and distances in Å follow each position.
Sites, in units of the cell vectors:
Se1 0.2493 0.8843 0.7687  2 Dy 2.90, 4 Th 3.01
Se2 0.7507 0.1157 0.2313  2 Dy 2.90, 4 Th 3.01
Dy1 0.2500 0.2987 0.5974  2 Se 2.90
Dy2 0.7500 0.7013 0.4026  2 Se 2.90
Th1 0.7496 0.4394 0.8789  4 Se 3.01
Th2 0.2504 0.5606 0.1211  4 Se 3.01

Summary:
- energy above the lowest structure with this stoichiometry (meV per atom) = 163
- D(E_F) (states/eV per cell) = 7.61
- SG = No. 12
- uncorrected energy (eV/atom) = -5.938
- ΔE_f (raw) (eV/atom) = -0.77

---

8.
Crystalline KCo2Cu at its relaxed geometry, computed with PBE.

Lattice parameters (Å, degrees): 4.1304 4.1304 6.3014 72.26 72.26 59.32
Closest atoms and distances in Å follow each position.
Sites, in units of the cell vectors:
Cu1 0.2500 0.2500 0.2500  6 Co 2.38-2.39
K1 0.7500 0.7500 0.7500  2 Co 3.13
Co1 0.5729 0.5729 0.2807  3 Cu 2.38-2.39, 3 Co 2.39-2.43
Co2 0.9271 0.9271 0.2193  3 Cu 2.38-2.39, 3 Co 2.39-2.43

Summary:
- energy above the lowest structure with this stoichiometry (meV per atom) = 0
- D(E_F) (states/eV per cell) = 5.12
- SG = No. 12
- uncorrected energy (eV/atom) = -4.323